Entry 1:
Density functional theory data (GGA-PBE) for a relaxed structure of ZrCd2Pd2.

a = 7.1333 Å, b = 7.1333 Å, c = 3.8203 Å
α = 90.00°, β = 90.00°, γ = 90.00°
With the nearest neighbours (Å) after each atom.
Positions (direct):
1 Zr 0.0000 0.0000 0.0000  4 Pd 2.77
2 Zr 0.5000 0.5000 0.0000  4 Pd 2.77
3 Cd 0.1616 0.3384 0.5000  6 Pd 2.78-2.87
4 Cd 0.3384 0.8384 0.5000  6 Pd 2.78-2.87
5 Cd 0.6616 0.1616 0.5000  6 Pd 2.78-2.87
6 Cd 0.8384 0.6616 0.5000  6 Pd 2.78-2.87
7 Pd 0.1376 0.6376 0.0000  2 Zr 2.77, 1 Pd 2.78, 6 Cd 2.78-2.87
8 Pd 0.3624 0.1376 0.0000  2 Zr 2.77, 1 Pd 2.78, 6 Cd 2.78-2.87
9 Pd 0.6376 0.8624 0.0000  2 Zr 2.77, 1 Pd 2.78, 6 Cd 2.78-2.87
10 Pd 0.8624 0.3624 0.0000  2 Zr 2.77, 1 Pd 2.78, 6 Cd 2.78-2.87

Values from the calculation:
Electronic total energy: -4.474 eV per atom
Energy of formation: -321 meV/atom

---

Entry 2:
Density functional theory data (GGA-PBE) for a relaxed structure of Rb3SmBi2Se6.

a = 7.5372 Å, b = 7.5372 Å, c = 8.4014 Å
α = 98.59°, β = 98.59°, γ = 119.99°
With the nearest neighbours (Å) after each atom.
Positions (direct):
1 Rb 0.0000 0.0000 0.0000  6 Se 3.47-3.48
2 Rb 0.3315 0.6685 0.0000  6 Se 3.47-3.48
3 Rb 0.6685 0.3315 0.0000  6 Se 3.47-3.48
4 Sm 0.5000 0.5000 0.5000  6 Se 2.97
5 Bi 0.1664 0.8336 0.5000  6 Se 2.99
6 Bi 0.8336 0.1664 0.5000  6 Se 2.99
7 Se 0.1020 0.4331 0.2992  1 Sm 2.97, 2 Bi 2.99
8 Se 0.2360 0.2360 0.7013  1 Sm 2.97, 2 Bi 2.99
9 Se 0.4331 0.1020 0.2992  1 Sm 2.97, 2 Bi 2.99
10 Se 0.5669 0.8980 0.7008  1 Sm 2.97, 2 Bi 2.99
11 Se 0.7640 0.7640 0.2987  1 Sm 2.97, 2 Bi 2.99
12 Se 0.8980 0.5669 0.7008  1 Sm 2.97, 2 Bi 2.99

Values from the calculation:
Formation energy (no corrections): -1.10 eV per atom
Electronic total energy: -4.129 eV per atom

---

Computed volume (Å³ per atom) in order:
19.44; 32.87